(1)
Fe2HgCl: relaxed, PBE.

Energy relative to the elements, uncorrected   0.2480 eV/atom
ΔE to the lowest computed polymorph   0.111 eV per atom
Total magnetic moment   5.64 μB/f.u.
Crystal system   orthorhombic
Total DFT energy (no corrections)   -18.08 eV per cell

Cell: 2.9514 4.1360 6.3434 Å, 89.96 90.00 90.00°
Positions (direct):
Cl 0.5000 0.7500 0.7500
Hg 0.5000 0.2500 0.2500
Fe 0.0000 0.7503 0.0625
Fe 0.0000 0.7497 0.4375

=====

(2)
PaSi3Pd3: relaxed, PBE.

Energy relative to the elements, uncorrected   -0.4426 eV/atom
Total magnetic moment   0.00 μB/f.u.
Crystal system   hexagonal
Total DFT energy (no corrections)   -88.88 eV per cell

Cell: 3.8326 8.5436 8.5440 Å, 120.00 90.00 90.00°
Positions (direct):
Pa 0.7500 0.3333 0.6667
Pa 0.2500 0.6667 0.3333
Si 0.7500 0.9485 0.3895
Si 0.7500 0.4409 0.0515
Si 0.7500 0.6105 0.5591
Si 0.2500 0.0515 0.6105
Si 0.2500 0.5591 0.9485
Si 0.2500 0.3895 0.4409
Pd 0.7500 0.7670 0.0522
Pd 0.7500 0.2852 0.2330
Pd 0.7500 0.9478 0.7148
Pd 0.2500 0.2330 0.9478
Pd 0.2500 0.7148 0.7670
Pd 0.2500 0.0522 0.2852

=====

(3)
BeReAg2: relaxed, PBE.

Total magnetic moment   0.00 μB/f.u.
Crystal system   monoclinic
Total DFT energy (no corrections)   -19.51 eV per cell

Cell: 5.4952 5.4952 2.6252 Å, 78.28 78.28 122.28°
Positions (direct):
Re 0.0000 0.5000 0.5000
Ag 0.0000 0.0000 0.0000
Ag 0.5000 0.5000 0.0000
Be 0.5000 0.0000 0.5000